1.
# Ta2B2H, relaxed, DFT PBE
# Offset from the most stable computed form in meV/atom: 1140
# E_tot in Ry/atom: -0.551
# ρ in g cm⁻³: 10.49
data_Ta2B2H
_chemical_formula_sum 'Ta2 B2 H1'
_space_group_name_H-M_alt 'P 1'
_space_group_IT_number 1
_space_group_name_Hall 'P 1'
_cell_length_a 4.200
_cell_length_b 4.200
_cell_length_c 4.554
_cell_angle_alpha 62.54
_cell_angle_beta 62.54
_cell_angle_gamma 90.00
loop_
_atom_site_label
_atom_site_type_symbol
_atom_site_fract_x
_atom_site_fract_y
_atom_site_fract_z
H1 H 0.000 0.000 0.000
B1 B 0.376 0.376 0.247
B2 B 0.624 0.624 0.753
Ta1 Ta 0.750 0.250 0.500
Ta2 Ta 0.250 0.750 0.500


2.
# TaB2H, relaxed, DFT PBE
# Offset from the most stable computed form in meV/atom: 0
# E_tot in Ry/atom: -0.501
# ρ in g cm⁻³: 10.07
data_TaB2H
_chemical_formula_sum 'Ta2 B4 H2'
_space_group_name_H-M_alt 'P 1'
_space_group_IT_number 1
_space_group_name_Hall 'P 1'
_cell_length_a 3.388
_cell_length_b 3.388
_cell_length_c 6.319
_cell_angle_alpha 74.45
_cell_angle_beta 74.45
_cell_angle_gamma 90.00
loop_
_atom_site_label
_atom_site_type_symbol
_atom_site_fract_x
_atom_site_fract_y
_atom_site_fract_z
H1 H 0.500 0.500 0.000
H2 H 0.250 0.750 0.500
B1 B 0.375 0.125 0.250
B2 B 0.375 0.625 0.250
B3 B 0.375 0.625 0.750
B4 B 0.875 0.625 0.750
Ta1 Ta 0.000 0.000 0.000
Ta2 Ta 0.750 0.250 0.500


3.
# Ta2B2H, relaxed, DFT PBE
# Offset from the most stable computed form in meV/atom: 0
# E_tot in Ry/atom: -0.635
# ρ in g cm⁻³: 13.32
data_Ta2B2H
_chemical_formula_sum 'Ta2 B2 H1'
_space_group_name_H-M_alt 'P 1'
_space_group_IT_number 1
_space_group_name_Hall 'P 1'
_cell_length_a 3.100
_cell_length_b 3.100
_cell_length_c 6.021
_cell_angle_alpha 89.80
_cell_angle_beta 105.25
_cell_angle_gamma 119.73
loop_
_atom_site_label
_atom_site_type_symbol
_atom_site_fract_x
_atom_site_fract_y
_atom_site_fract_z
Ta1 Ta 0.811 0.410 0.220
Ta2 Ta 0.189 0.590 0.780
B1 B 0.334 0.167 0.501
B2 B 0.666 0.833 0.499
H1 H 0.000 0.000 0.000